Entry 1:
CrI2BrO: relaxed, PBE+U.

Lattice parameters (Å, degrees): 5.931 5.931 4.015 90.00 90.00 90.00
Each line ends with the local moment (μB).
Fractional coordinates of all 5 atoms:
I 0.500 0.000 0.000  -0.02
O 0.000 0.000 0.500  0.01
Br 0.000 0.000 0.000  -0.01
I 0.000 0.500 0.000  -0.02
Cr 0.500 0.500 0.500  4.56

Computed properties:
Calculated density ... 4.7 Mg/m³
E_tot ... -2.95 eV per atom
Crystal system ... tetragonal

Entry 2:
CrIBrO2: relaxed, PBE+U.

Lattice parameters (Å, degrees): 3.987 7.488 3.987 90.00 90.00 90.00
Each line ends with the local moment (μB).
Fractional coordinates of all 5 atoms:
Cr 0.500 0.500 0.500  4.36
O 0.500 0.000 0.000  -0.01
O 0.000 0.000 0.500  -0.05
I 0.000 0.500 0.000  -0.07
Br 0.000 0.000 0.000  -0.03

Computed properties:
Calculated density ... 4.1 Mg/m³
E_tot ... -3.74 eV per atom
Crystal system ... tetragonal

Entry 3:
CrIBrO2: relaxed, PBE+U.

Lattice parameters (Å, degrees): 3.941 3.941 7.169 90.00 90.00 90.00
Each line ends with the local moment (μB).
Fractional coordinates of all 5 atoms:
Cr 0.000 0.000 0.000  3.08
I 0.000 0.000 0.500  0.02
O 0.500 0.000 0.000  -0.51
O 0.000 0.500 0.000  -0.51
Br 0.500 0.500 0.500  0.00

Computed properties:
Calculated density ... 4.3 Mg/m³
E_tot ... -4.44 eV per atom
Crystal system ... tetragonal

Entry 4:
CrI2BrO: relaxed, PBE+U.

Lattice parameters (Å, degrees): 6.027 6.027 3.620 90.00 90.00 90.00
Each line ends with the local moment (μB).
Fractional coordinates of all 5 atoms:
I 0.000 0.500 0.000  -0.17
I 0.500 0.000 0.000  -0.17
Cr 0.000 0.000 0.000  3.29
O 0.000 0.000 0.500  -0.33
Br 0.500 0.500 0.500  -0.20

Computed properties:
Calculated density ... 5.1 Mg/m³
E_tot ... -3.72 eV per atom
Crystal system ... tetragonal

> Which of these has the lowest calculated density?

number 2

> Which of these has the highest E_tot?

number 1

Repeat the first record exactly.
CrI2BrO: relaxed, PBE+U.

Lattice parameters (Å, degrees): 5.931 5.931 4.015 90.00 90.00 90.00
Each line ends with the local moment (μB).
Fractional coordinates of all 5 atoms:
I 0.500 0.000 0.000  -0.02
O 0.000 0.000 0.500  0.01
Br 0.000 0.000 0.000  -0.01
I 0.000 0.500 0.000  -0.02
Cr 0.500 0.500 0.500  4.56

Computed properties:
Calculated density ... 4.7 Mg/m³
E_tot ... -2.95 eV per atom
Crystal system ... tetragonal

> The highest E_tot belongs to which entry?

number 1